[1]
Computed, not measured: crystalline BaCoAgTe3 at its relaxed geometry at the PBE level of DFT.

a b c (Å): 7.6238 7.6238 10.8830
angles (deg): 90.00 90.00 148.19
With the nearest neighbours (Å) after each atom.
Fractional coordinates of all 12 atoms:
Ba 0.2315 0.7685 0.2500  2 Ag 3.42, 8 Te 3.53-3.69
Ba 0.7685 0.2315 0.7500  2 Ag 3.42, 8 Te 3.53-3.69
Te 0.9254 0.0746 0.2500  2 Ag 2.75, 2 Co 2.93
Te 0.3836 0.6164 0.9826  2 Co 2.70, 1 Ag 2.73
Te 0.0746 0.9254 0.7500  2 Ag 2.75, 2 Co 2.93
Te 0.3836 0.6164 0.5174  2 Co 2.70, 1 Ag 2.73
Te 0.6164 0.3836 0.0174  2 Co 2.70, 1 Ag 2.73
Te 0.6164 0.3836 0.4826  2 Co 2.70, 1 Ag 2.73
Ag 0.5469 0.4531 0.2500  4 Te 2.73-2.75
Ag 0.4531 0.5469 0.7500  4 Te 2.73-2.75
Co 0.0000 0.0000 0.5000  6 Te 2.70-2.93
Co 0.0000 0.0000 0.0000  6 Te 2.70-2.93

Properties
For the total energy, the calculation gives -3.953 eV/atom. As for the symmetry: No. 63.

***

[2]
Computed, not measured: crystalline CuAsOsAu at its relaxed geometry at the PBE level of DFT.

a b c (Å): 4.4354 4.4354 4.4354
angles (deg): 60.00 60.00 60.00
With the nearest neighbours (Å) after each atom.
Fractional coordinates of all 4 atoms:
Au 0.5000 0.5000 0.5000  4 Cu 2.72, 4 Os 2.72
As 0.0000 0.0000 0.0000  4 Cu 2.72, 4 Os 2.72
Os 0.2500 0.2500 0.2500  4 Au 2.72, 4 As 2.72
Cu 0.7500 0.7500 0.7500  4 Au 2.72, 4 As 2.72

Properties
For the total energy, the calculation gives -5.230 eV/atom. As for the symmetry: No. 216.

***

no.,offset from the most stable computed form (eV per atom)
1,0.128
2,0.000